VASP calculation (PBE) on an optimized crystal structure of Li3RhBr.

Values from the calculation:
Space-group type = No. 221
E_form (uncorrected) = -0.019 eV per atom
Relative energy among the computed polymorphs = 0.000 eV/atom
E = -2.9717 eV per atom
Calculated density = 3.3 g/cm3
V = 103.9 Å³/f.u.

a b c (Å): 4.701 4.701 4.701
angles (deg): 90.00 90.00 90.00
Last column: magnetic moment on the atom in μB.
Atoms (fractional coordinates):
Li1 0.000 0.500 0.000  0.00
Li2 0.000 0.000 0.500  0.00
Li3 0.500 0.000 0.000  0.00
Rh1 0.500 0.500 0.500  0.95
Br1 0.000 0.000 0.000  0.01



VASP calculation (PBE) on an optimized crystal structure of FeHPd2Br.

Values from the calculation:
Space-group type = No. 123
E = -3.7338 eV per atom
Calculated density = 5.5 g/cm3
V = 105.9 Å³/f.u.

a b c (Å): 4.782 4.633 4.782
angles (deg): 90.00 90.00 90.00
Last column: magnetic moment on the atom in μB.
Atoms (fractional coordinates):
H1 0.500 0.500 0.500  0.29
Fe1 0.000 0.000 0.000  2.81
Br1 0.000 0.500 0.000  0.07
Pd1 0.500 0.000 0.000  0.22
Pd2 0.000 0.000 0.500  0.56



VASP calculation (PBE) on an optimized crystal structure of Nb2HRhAu.

Values from the calculation:
Space-group type = No. 123
Relative energy among the computed polymorphs = 0.000 eV/atom
E = -7.0696 eV per atom
Calculated density = 11.7 g/cm3
V = 69.3 Å³/f.u.

a b c (Å): 4.116 4.116 4.091
angles (deg): 90.00 90.00 90.00
Atoms (fractional coordinates):
Au1 0.500 0.500 0.500
Nb1 0.500 0.000 0.000
Nb2 0.000 0.500 0.000
H1 0.000 0.000 0.000
Rh1 0.000 0.000 0.500